A relaxed Nd2NpGe4Ir3 crystal. Source: Alexandria via LeMat-Bulk, functional PBE.

* DOS(E_F): 10.94 states/eV per cell
* formation energy from the elements: -0.57 eV per atom

Cell lengths 4.265, 4.265, 11.277 Å; angles 90.00, 90.00, 90.00 degrees
Fractional positions:
Nd 0.000 0.500 0.768
Ge 0.000 0.500 0.329
Ge 0.500 0.000 0.671
Ge 0.000 0.000 0.000
Ir 0.000 0.000 0.500
Ir 0.500 0.000 0.886
Ge 0.500 0.500 0.000
Np 0.500 0.500 0.500
Ir 0.000 0.500 0.114
Nd 0.500 0.000 0.232